No. 1
FeP2Br (GGA-PBE, optimized geometry); V = 77 Å³ per cell; ΔE_f (raw) = 0.21 eV/atom; magnetization = 3.1 Bohr magnetons per cell; space-group type = P4mm, No. 99; distance to the lowest polymorph of the same formula = 303 meV/atom
1.0
3.233 0.000 0.000
0.000 3.233 0.000
0.000 0.000 7.368
Br Fe P
1 1 2
Cartesian
0.000 0.000 4.272
1.616 1.616 5.861
0.000 0.000 0.093
1.616 1.616 0.827



No. 2
GeAsF2 (GGA-PBE, optimized geometry); V = 59 Å³ per cell; ΔE_f (raw) = -0.98 eV/atom; magnetization = 0.0 Bohr magnetons per cell; space-group type = R-3m, No. 166; distance to the lowest polymorph of the same formula = 114 meV/atom
1.0
1.670 0.000 8.078
-0.835 1.446 8.078
-0.835 -1.446 8.078
As Ge F
1 1 2
Cartesian
0.000 0.000 12.117
0.000 0.000 0.000
0.000 0.000 22.159
0.000 0.000 2.076



No. 3
Hf2TlP (GGA-PBE, optimized geometry); energy of formation from the pure elements = -50 meV/atom; V = 79 Å³ per cell; magnetization = 0.0 Bohr magnetons per cell; space-group type = Fm-3m, No. 225; distance to the lowest polymorph of the same formula = 593 meV/atom
1.0
-1.740 -4.447 0.604
0.287 -2.133 4.306
-3.983 -0.692 2.614
P Tl Hf
1 1 2
Cartesian
0.000 0.000 0.000
-2.718 -3.636 3.762
-1.359 -1.818 1.881
-4.077 -5.454 5.643



No. 4
Hf2NbGaSn (GGA-PBE, optimized geometry); energy of formation from the pure elements = 857 meV/atom; V = 118 Å³ per cell; magnetization = 0.0 Bohr magnetons per cell; space-group type = P4/mmm, No. 123
1.0
4.917 0.000 0.000
0.000 4.917 0.000
0.000 0.000 4.887
Nb Hf Sn Ga
1 2 1 1
Cartesian
2.458 2.458 2.443
0.000 2.458 0.000
2.458 0.000 0.000
0.000 0.000 2.443
0.000 0.000 0.000



No. 5
Li2CrCl (GGA-PBE, optimized geometry); V = 78 Å³ per cell; ΔE_f (raw) = 0.16 eV/atom; magnetization = 4.9 Bohr magnetons per cell; space-group type = F-43m, No. 216; distance to the lowest polymorph of the same formula = 496 meV/atom
1.0
4.802 0.000 0.000
2.401 4.159 0.000
2.401 1.386 3.921
Cl Cr Li
1 1 2
Cartesian
4.802 2.772 1.960
7.203 4.159 2.941
0.000 0.000 0.000
2.401 1.386 0.980



No. 6
HoSc2F8 (GGA-PBE, optimized geometry); V = 157 Å³ per cell; ΔE_f (raw) = -3.79 eV/atom; magnetization = 1.0 Bohr magnetons per cell; space-group type = C2/m, No. 12
1.0
5.261 -0.523 -0.434
-0.580 5.605 0.243
-0.580 1.264 5.466
Ho Sc F
1 2 8
Cartesian
0.000 0.000 0.000
2.563 1.973 1.640
1.539 4.372 3.634
3.294 0.748 3.298
0.807 2.966 5.142
3.874 0.720 0.599
0.228 5.625 4.676
3.294 3.379 0.132
0.807 5.598 1.976
0.806 2.854 2.372
3.296 3.491 2.902



These records have calculated total energy values of -20.12, -16.91, -27.88, -32.72, -14.68, -73.85 eV per cell, in the order they appear.